Entry 1:
Density functional theory data (GGA-PBE) for a relaxed structure of YSb4Te.

Cell: 8.8371 8.8371 8.8371 Å, 90.00 90.00 90.00°
Space group F-43m (No. 216)
Inequivalent atoms, fractional coordinates:
Y 0.0000 0.0000 0.0000
Sb 0.1238 0.1238 0.6238
Te 0.2500 0.2500 0.2500

Calculated values
- Fermi-level density of states: 3.4 states/eV/f.u.
- Uncorrected formation energy: -0.0560 eV/atom

Entry 2:
Density functional theory data (GGA-PBE) for a relaxed structure of Y2SbTe.

Cell: 5.4246 5.4246 3.7333 Å, 90.00 90.00 90.00°
Space group P4/mmm (No. 123)
Inequivalent atoms, fractional coordinates:
Y 0.0000 0.5000 0.0000
Sb 0.0000 0.0000 0.5000
Te 0.5000 0.5000 0.5000

Calculated values
- Fermi-level density of states: 3.6 states/eV/f.u.
- Uncorrected formation energy: -1.0014 eV/atom

Entry 3:
Density functional theory data (GGA-PBE) for a relaxed structure of YZrSbTe2.

Cell: 5.5084 5.5084 5.6099 Å, 90.00 90.00 90.00°
Space group P4/mmm (No. 123)
Inequivalent atoms, fractional coordinates:
Y 0.0000 0.0000 0.0000
Zr 0.5000 0.5000 0.5000
Sb 0.5000 0.5000 0.0000
Te 0.0000 0.5000 0.5000

Calculated values
- Fermi-level density of states: 2.3 states/eV/f.u.
- Uncorrected formation energy: -0.2567 eV/atom

Entry 4:
Density functional theory data (GGA-PBE) for a relaxed structure of YZrSbTe2.

Cell: 5.6731 5.6731 5.7294 Å, 90.00 90.00 90.00°
Space group P4/mmm (No. 123)
Inequivalent atoms, fractional coordinates:
Y 0.0000 0.0000 0.0000
Zr 0.5000 0.5000 0.5000
Sb 0.0000 0.0000 0.5000
Te 0.0000 0.5000 0.0000

Calculated values
- Fermi-level density of states: 6.6 states/eV/f.u.
- Uncorrected formation energy: 0.3451 eV/atom

Entry 5:
Density functional theory data (GGA-PBE) for a relaxed structure of YbSb2Te4.

Cell: 9.8514 9.8514 9.7296 Å, 90.00 90.00 90.00°
Space group I-42d (No. 122)
Inequivalent atoms, fractional coordinates:
Yb 0.0000 0.0000 0.0000
Sb 0.0029 0.7500 0.6250
Te 0.0166 0.6897 0.9358

Calculated values
- Fermi-level density of states: 24.4 states/eV/f.u.
- Uncorrected formation energy: -0.4473 eV/atom

Entry 6:
Density functional theory data (GGA-PBE) for a relaxed structure of ZnSb2Te.

Cell: 3.1167 4.1441 8.5732 Å, 90.00 95.13 90.00°
Space group P2/m (No. 10)
Inequivalent atoms, fractional coordinates:
Zn 0.0000 0.0000 0.0000
Sb 0.0690 0.5000 0.7824
Te 0.0000 0.0000 0.5000

Calculated values
- Fermi-level density of states: 1.2 states/eV/f.u.
- Uncorrected formation energy: 0.0656 eV/atom